A relaxed structure of LaRe2Te, computed with PBE.

- uncorrected energy (eV/f.u.) = -29.93
- crystal system = tetragonal

Lattice parameters (Å, degrees): 5.913 5.913 5.913 139.55 139.55 58.54
Fractional coordinates of all 4 atoms:
La  0.000  0.000  0.000
Re  0.250  0.750  0.500
Re  0.750  0.250  0.500
Te  0.500  0.500  0.000